No. 1
# Rb2CdSiI6 (PBE, relaxed)
data_Rb2CdSiI6
_chemical_formula_sum 'Rb8 Cd4 Si4 I24'
_symmetry_space_group_name_H-M 'F m -3 m'
_symmetry_Int_Tables_number 225
_symmetry_space_group_name_Hall '-F 4 2 3'
_cell_length_a 11.8567
_cell_length_b 11.8567
_cell_length_c 11.8567
_cell_angle_alpha 90.00
_cell_angle_beta 90.00
_cell_angle_gamma 90.00
loop_
_atom_site_label
_atom_site_type_symbol
_atom_site_fract_x
_atom_site_fract_y
_atom_site_fract_z
_atom_site_occupancy
Rb1 Rb 0.2500 0.2500 0.2500 1
Cd1 Cd 0.0000 0.0000 0.0000 1
Si1 Si 0.0000 0.0000 0.5000 1
I1 I 0.0000 0.0000 0.2546 1
# Energy relative to the elements, uncorrected = -0.7437 eV/atom
# DFT total energy = -100.04 eV for the cell shown
# D(E_F) = 0.0 states/eV/cell

---

No. 2
# RbCdSnI5 (PBE, relaxed)
data_RbCdSnI5
_chemical_formula_sum 'Rb4 Cd4 Sn4 I20'
_symmetry_space_group_name_H-M 'C 1 2/c 1'
_symmetry_Int_Tables_number 15
_cell_length_a 10.5760
_cell_length_b 13.9370
_cell_length_c 11.5905
_cell_angle_alpha 90.00
_cell_angle_beta 113.95
_cell_angle_gamma 90.00
loop_
_symmetry_equiv_pos_as_xyz
'x,y,z'
'-x,-y,-z'
'-x,y,-z+1/2'
'x,-y,z+1/2'
'x+1/2,y+1/2,z'
'-x+1/2,-y+1/2,-z'
'-x+1/2,y+1/2,-z+1/2'
'x+1/2,-y+1/2,z+1/2'
loop_
_atom_site_label
_atom_site_type_symbol
_atom_site_fract_x
_atom_site_fract_y
_atom_site_fract_z
_atom_site_occupancy
Rb1 Rb 0.0000 0.1529 0.2500 1
Cd1 Cd 0.0000 0.1829 0.7500 1
Sn1 Sn 0.0000 0.5000 0.0000 1
I1 I 0.0000 0.4163 0.2500 1
I2 I 0.1204 0.2901 0.6128 1
I3 I 0.1841 0.0621 0.9445 1
# Energy relative to the elements, uncorrected = -0.7805 eV/atom
# DFT total energy = -79.52 eV for the cell shown

---

No. 3
# RbSrCdI5 (PBE, relaxed)
data_RbSrCdI5
_chemical_formula_sum 'Rb4 Sr4 Cd4 I20'
_symmetry_space_group_name_H-M 'C 1 2/c 1'
_symmetry_Int_Tables_number 15
_cell_length_a 10.7747
_cell_length_b 14.1343
_cell_length_c 11.7497
_cell_angle_alpha 90.00
_cell_angle_beta 114.47
_cell_angle_gamma 90.00
loop_
_symmetry_equiv_pos_as_xyz
'x,y,z'
'-x,-y,-z'
'-x,y,-z+1/2'
'x,-y,z+1/2'
'x+1/2,y+1/2,z'
'-x+1/2,-y+1/2,-z'
'-x+1/2,y+1/2,-z+1/2'
'x+1/2,-y+1/2,z+1/2'
loop_
_atom_site_label
_atom_site_type_symbol
_atom_site_fract_x
_atom_site_fract_y
_atom_site_fract_z
_atom_site_occupancy
Rb1 Rb 0.0000 0.1504 0.2500 1
Sr1 Sr 0.0000 0.5000 0.0000 1
Cd1 Cd 0.0000 0.1827 0.7500 1
I1 I 0.0000 0.4081 0.2500 1
I2 I 0.1260 0.2886 0.6225 1
I3 I 0.1788 0.0616 0.9429 1
# Energy relative to the elements, uncorrected = -1.2303 eV/atom
# DFT total energy = -84.63 eV for the cell shown
# D(E_F) = 0.0 states/eV/cell

---

No. 4
# Rb2CdTcI6 (PBE, relaxed)
data_Rb2CdTcI6
_chemical_formula_sum 'Rb4 Cd2 Tc2 I12'
_symmetry_space_group_name_H-M 'I 4/m m m'
_symmetry_Int_Tables_number 139
_symmetry_space_group_name_Hall '-I 4 2'
_cell_length_a 8.3858
_cell_length_b 8.3858
_cell_length_c 11.8784
_cell_angle_alpha 90.00
_cell_angle_beta 90.00
_cell_angle_gamma 90.00
loop_
_atom_site_label
_atom_site_type_symbol
_atom_site_fract_x
_atom_site_fract_y
_atom_site_fract_z
_atom_site_occupancy
Rb1 Rb 0.0000 0.5000 0.2500 1
Cd1 Cd 0.0000 0.0000 0.0000 1
Tc1 Tc 0.0000 0.0000 0.5000 1
I1 I 0.0000 0.0000 0.2646 1
I2 I 0.2359 0.2359 0.5000 1
# Energy relative to the elements, uncorrected = -0.6087 eV/atom
# DFT total energy = -57.21 eV for the cell shown
# D(E_F) = 11.8 states/eV/cell